VASP calculation (PBE) on TlInIr2 after structural relaxation.

abc: 4.724 4.723 3.198
angles: 90.00 90.00 90.00
Sites, in units of the cell vectors:
Ir 0.500 0.500 0.000
Ir 0.000 0.000 0.000
Tl 0.500 0.000 0.500
In 0.000 0.500 0.500

## Properties
SG = No. 123
Polymorph energy (0 for the lowest one) = 17 kJ/mol of formula units
Spin magnetization = 0.0 Bohr magnetons per cell
Energy of formation = 0.31 eV/atom